Entry 1:
PmZrGa2 (PBE-GGA, optimized geometry); space-group type = R-3m (166); total energy = -20.64 eV per cell; calculated volume = 94 Å³/cell; formation energy = -0.321 eV per atom
1.0
-3.392 1.269 -0.108
-2.632 -1.710 1.809
-0.470 4.530 7.227
Pm Ga Zr
1 2 1
Direct
0.000 0.000 0.000
0.756 0.756 0.731
0.244 0.244 0.269
0.500 0.500 0.500


Entry 2:
Pm2ZrGa (PBE-GGA, optimized geometry); space-group type = P4/mmm (123); total energy = -21.70 eV per cell; calculated volume = 107 Å³/cell; formation energy = -0.155 eV per atom
1.0
-0.974 2.245 2.468
1.412 -2.051 2.424
7.687 4.278 -0.857
Zr Ga Pm
1 1 2
Direct
0.500 0.500 0.500
0.500 0.500 0.000
0.000 0.000 0.772
0.000 0.000 0.228


Entry 3:
Pm2ZrGa (PBE-GGA, optimized geometry); space-group type = R-3m (166); total energy = -20.28 eV per cell; calculated volume = 116 Å³/cell; formation energy = 0.200 eV per atom
1.0
-0.203 -3.356 0.489
2.796 -1.919 -0.204
2.747 -0.221 11.427
Pm Ga Zr
2 1 1
Direct
0.089 0.089 0.733
0.911 0.911 0.267
0.000 0.000 0.000
0.500 0.500 0.500


Entry 4:
Pm2Zr3Ga4 (PBE-GGA, optimized geometry); space-group type = Cmce (64); total energy = -102.03 eV per cell; calculated volume = 413 Å³/cell; formation energy = -0.418 eV per atom
1.0
6.367 0.000 0.000
0.000 8.226 0.000
-3.184 0.000 7.886
Ga Zr Pm
8 6 4
Direct
0.182 0.949 0.365
0.715 0.750 0.929
0.682 0.551 0.365
0.318 0.449 0.635
0.785 0.250 0.071
0.215 0.750 0.929
0.818 0.051 0.635
0.285 0.250 0.071
0.040 0.750 0.581
0.460 0.250 0.419
0.960 0.250 0.419
0.000 0.000 0.000
0.500 0.500 0.000
0.540 0.750 0.581
0.612 0.914 0.224
0.112 0.586 0.224
0.388 0.086 0.776
0.888 0.414 0.776


Entry 5:
PmZr2Ga (PBE-GGA, optimized geometry); space-group type = P4/mmm (123); total energy = -25.41 eV per cell; calculated volume = 94 Å³/cell; formation energy = -0.133 eV per atom
1.0
3.432 0.000 0.000
0.000 3.432 0.000
0.000 0.000 7.940
Pm Zr Ga
1 2 1
Direct
0.500 0.500 0.500
0.000 0.000 0.795
0.000 0.000 0.205
0.500 0.500 0.000


Entry 6:
PmZrGa2 (PBE-GGA, optimized geometry); space-group type = Pnma (62); total energy = -85.35 eV per cell; calculated volume = 371 Å³/cell; formation energy = -0.496 eV per atom
1.0
4.103 0.000 0.000
0.000 8.233 0.000
0.000 0.000 10.977
Pm Zr Ga
4 4 8
Direct
0.250 0.147 0.856
0.750 0.853 0.144
0.250 0.647 0.644
0.750 0.353 0.356
0.250 0.980 0.395
0.750 0.020 0.605
0.750 0.520 0.895
0.250 0.480 0.105
0.750 0.858 0.825
0.750 0.748 0.444
0.250 0.752 0.944
0.750 0.358 0.675
0.250 0.252 0.556
0.750 0.248 0.056
0.250 0.642 0.325
0.250 0.142 0.175


Entry 7:
PmZrGa4 (PBE-GGA, optimized geometry); space-group type = F-43m (216); total energy = -28.32 eV per cell; calculated volume = 114 Å³/cell; formation energy = -0.485 eV per atom
1.0
-4.388 3.231 0.062
-2.616 0.953 4.685
0.274 4.923 2.321
Pm Ga Zr
1 4 1
Direct
0.000 0.000 0.000
0.625 0.126 0.625
0.625 0.625 0.126
0.625 0.625 0.625
0.126 0.625 0.625
0.250 0.250 0.250


Entry 8:
Pm2ZrGa (PBE-GGA, optimized geometry); space-group type = P4/mmm (123); total energy = -21.75 eV per cell; calculated volume = 101 Å³/cell; formation energy = -0.168 eV per atom
1.0
-2.655 -2.783 -2.727
0.985 -3.609 2.725
-3.696 0.965 2.614
Pm Zr Ga
2 1 1
Direct
0.000 0.000 0.500
0.000 0.500 0.000
0.500 0.500 0.500
0.500 0.000 0.000


Entry 9:
PmZrGa2 (PBE-GGA, optimized geometry); space-group type = P4/mmm (123); total energy = -21.31 eV per cell; calculated volume = 87 Å³/cell; formation energy = -0.488 eV per atom
1.0
3.638 0.000 0.000
0.000 3.638 0.000
0.000 0.000 6.570
Ga Zr Pm
2 1 1
Direct
0.000 0.000 0.788
0.000 0.000 0.212
0.500 0.500 0.000
0.500 0.500 0.500


Entry 10:
PmZrGa4 (PBE-GGA, optimized geometry); space-group type = I-4m2 (119); total energy = -28.67 eV per cell; calculated volume = 122 Å³/cell; formation energy = -0.544 eV per atom
1.0
3.904 0.000 -1.205
-0.372 3.886 -1.205
0.277 0.305 7.821
Ga Pm Zr
4 1 1
Direct
0.585 0.585 0.170
0.670 0.170 0.339
0.830 0.330 0.661
0.415 0.415 0.830
0.000 0.000 0.000
0.250 0.750 0.500


Entry 11:
PmZr2Ga (PBE-GGA, optimized geometry); space-group type = Fm-3m (225); total energy = -24.86 eV per cell; calculated volume = 90 Å³/cell; formation energy = 0.004 eV per atom
1.0
5.027 0.000 0.000
2.514 4.354 0.000
2.514 1.451 4.106
Zr Pm Ga
2 1 1
Direct
0.250 0.250 0.250
0.750 0.750 0.750
0.000 0.000 0.000
0.500 0.500 0.500


Entry 12:
Pm2Zr3Ga4 (PBE-GGA, optimized geometry); space-group type = P2_1/c (14); total energy = -104.46 eV per cell; calculated volume = 407 Å³/cell; formation energy = -0.553 eV per atom
1.0
-5.354 0.132 -5.054
-2.896 -2.936 6.404
-1.999 6.985 2.299
Ga Zr Pm
8 6 4
Direct
0.368 0.081 0.961
0.132 0.919 0.461
0.870 0.496 0.122
0.868 0.081 0.539
0.632 0.919 0.039
0.370 0.496 0.378
0.630 0.504 0.622
0.130 0.504 0.878
0.751 0.750 0.322
0.749 0.250 0.822
0.249 0.250 0.678
0.000 0.500 0.500
0.251 0.750 0.178
0.500 0.500 0.000
0.070 0.191 0.171
0.430 0.809 0.671
0.930 0.809 0.829
0.570 0.191 0.329